# Tb5Pr2HoTh, relaxed, DFT GGA-PBE
# Energy of formation ... 15.9 kJ/mol of atoms
# D(E_F) ... 27.5 states/eV/cell
# Space group ... No. 36
# E_tot ... -4.8023 eV per atom
data_Tb5Pr2HoTh
_chemical_formula_sum 'Tb10 Pr4 Ho2 Th2'
_symmetry_space_group_name_H-M 'P 1'
_symmetry_Int_Tables_number 1
_symmetry_space_group_name_Hall 'P 1'
_cell_length_a 5.650
_cell_length_b 10.404
_cell_length_c 10.784
_cell_angle_alpha 90.00
_cell_angle_beta 90.00
_cell_angle_gamma 105.75
loop_
_atom_site_label
_atom_site_type_symbol
_atom_site_fract_x
_atom_site_fract_y
_atom_site_fract_z
_atom_site_occupancy
Tb1 Tb 0.609 0.219 0.522 1
Tb2 Tb 0.479 0.959 0.738 1
Tb3 Tb 0.521 0.041 0.238 1
Tb4 Tb 0.701 0.402 0.207 1
Tb5 Tb 0.299 0.598 0.707 1
Tb6 Tb 0.280 0.560 0.314 1
Tb7 Tb 0.720 0.440 0.814 1
Tb8 Tb 0.984 0.968 0.525 1
Tb9 Tb 0.391 0.781 0.022 1
Tb10 Tb 0.016 0.032 0.025 1
Pr1 Pr 0.116 0.231 0.733 1
Pr2 Pr 0.884 0.769 0.233 1
Pr3 Pr 0.884 0.769 0.819 1
Pr4 Pr 0.116 0.231 0.319 1
Ho1 Ho 0.800 0.599 0.509 1
Ho2 Ho 0.200 0.401 0.009 1
Th1 Th 0.416 0.832 0.456 1
Th2 Th 0.584 0.168 0.956 1

# Sm2BiO, relaxed, DFT GGA-PBE
# Uncorrected formation energy ... -6.4 eV per formula unit
# D(E_F) ... 1.6 states/eV/cell
# Space group ... No. 166
# Distance to the lowest polymorph of the same formula ... 1.16 eV/f.u.
# E_tot ... -6.1763 eV per atom
data_Sm2BiO
_chemical_formula_sum 'Sm2 Bi1 O1'
_symmetry_space_group_name_H-M 'P 1'
_symmetry_Int_Tables_number 1
_symmetry_space_group_name_Hall 'P 1'
_cell_length_a 3.729
_cell_length_b 3.729
_cell_length_c 7.929
_cell_angle_alpha 76.40
_cell_angle_beta 76.40
_cell_angle_gamma 60.00
loop_
_atom_site_label
_atom_site_type_symbol
_atom_site_fract_x
_atom_site_fract_y
_atom_site_fract_z
_atom_site_occupancy
Sm1 Sm 0.723 0.723 0.831 1
Sm2 Sm 0.277 0.277 0.169 1
Bi1 Bi 0.500 0.500 0.500 1
O1 O 0.000 0.000 0.000 1

# RbTl2SbF6, relaxed, DFT GGA-PBE
# Uncorrected formation energy ... -22.2 eV per formula unit
# D(E_F) ... 0.0 states/eV/cell
# Space group ... No. 14
# E_tot ... -4.3250 eV per atom
data_RbTl2SbF6
_chemical_formula_sum 'Rb2 Tl4 Sb2 F12'
_symmetry_space_group_name_H-M 'P 1'
_symmetry_Int_Tables_number 1
_symmetry_space_group_name_Hall 'P 1'
_cell_length_a 6.573
_cell_length_b 6.987
_cell_length_c 9.553
_cell_angle_alpha 90.00
_cell_angle_beta 89.06
_cell_angle_gamma 90.00
loop_
_atom_site_label
_atom_site_type_symbol
_atom_site_fract_x
_atom_site_fract_y
_atom_site_fract_z
_atom_site_occupancy
F1 F 0.712 0.344 0.961 1
F2 F 0.652 0.266 0.572 1
F3 F 0.348 0.734 0.428 1
F4 F 0.788 0.844 0.539 1
F5 F 0.612 0.062 0.283 1
F6 F 0.848 0.766 0.928 1
F7 F 0.388 0.938 0.717 1
F8 F 0.152 0.234 0.072 1
F9 F 0.212 0.156 0.461 1
F10 F 0.112 0.438 0.783 1
F11 F 0.288 0.656 0.039 1
F12 F 0.888 0.562 0.217 1
Tl1 Tl 0.490 0.460 0.242 1
Tl2 Tl 0.010 0.960 0.258 1
Tl3 Tl 0.990 0.040 0.742 1
Tl4 Tl 0.510 0.540 0.758 1
Sb1 Sb 0.500 0.000 0.500 1
Sb2 Sb 0.000 0.500 0.000 1
Rb1 Rb 0.500 0.000 0.000 1
Rb2 Rb 0.000 0.500 0.500 1

# SnBi3Br, relaxed, DFT GGA-PBE
# Uncorrected formation energy ... 3.5 eV per formula unit
# D(E_F) ... 4.0 states/eV/cell
# Space group ... No. 221
# Distance to the lowest polymorph of the same formula ... 0.62 eV/f.u.
# E_tot ... -2.7635 eV per atom
data_SnBi3Br
_chemical_formula_sum 'Sn1 Bi3 Br1'
_symmetry_space_group_name_H-M 'P 1'
_symmetry_Int_Tables_number 1
_symmetry_space_group_name_Hall 'P 1'
_cell_length_a 5.703
_cell_length_b 5.703
_cell_length_c 5.703
_cell_angle_alpha 90.00
_cell_angle_beta 90.00
_cell_angle_gamma 90.00
loop_
_atom_site_label
_atom_site_type_symbol
_atom_site_fract_x
_atom_site_fract_y
_atom_site_fract_z
_atom_site_occupancy
Br1 Br 0.000 0.000 0.000 1
Sn1 Sn 0.500 0.500 0.500 1
Bi1 Bi 0.500 0.000 0.000 1
Bi2 Bi 0.000 0.500 0.000 1
Bi3 Bi 0.000 0.000 0.500 1

# Mg2Sn2Br, relaxed, DFT GGA-PBE
# Uncorrected formation energy ... -1.1 eV per formula unit
# D(E_F) ... 2.6 states/eV/cell
# Space group ... No. 127
# E_tot ... -2.7911 eV per atom
data_Mg2Sn2Br
_chemical_formula_sum 'Mg4 Sn4 Br2'
_symmetry_space_group_name_H-M 'P 1'
_symmetry_Int_Tables_number 1
_symmetry_space_group_name_Hall 'P 1'
_cell_length_a 8.131
_cell_length_b 8.131
_cell_length_c 4.026
_cell_angle_alpha 90.00
_cell_angle_beta 90.00
_cell_angle_gamma 90.00
loop_
_atom_site_label
_atom_site_type_symbol
_atom_site_fract_x
_atom_site_fract_y
_atom_site_fract_z
_atom_site_occupancy
Mg1 Mg 0.678 0.178 0.000 1
Mg2 Mg 0.822 0.678 0.000 1
Mg3 Mg 0.322 0.822 0.000 1
Mg4 Mg 0.178 0.322 0.000 1
Br1 Br 0.000 0.000 0.000 1
Br2 Br 0.500 0.500 0.000 1
Sn1 Sn 0.622 0.878 0.500 1
Sn2 Sn 0.122 0.622 0.500 1
Sn3 Sn 0.378 0.122 0.500 1
Sn4 Sn 0.878 0.378 0.500 1

# Sr3AcC4O12, relaxed, DFT GGA-PBE
# Uncorrected formation energy ... -43.2 eV per formula unit
# D(E_F) ... 2.7 states/eV/cell
# Space group ... No. 155
# E_tot ... -7.4361 eV per atom
data_Sr3AcC4O12
_chemical_formula_sum 'Sr3 Ac1 C4 O12'
_symmetry_space_group_name_H-M 'P 1'
_symmetry_Int_Tables_number 1
_symmetry_space_group_name_Hall 'P 1'
_cell_length_a 6.864
_cell_length_b 6.864
_cell_length_c 6.864
_cell_angle_alpha 100.02
_cell_angle_beta 100.02
_cell_angle_gamma 100.02
loop_
_atom_site_label
_atom_site_type_symbol
_atom_site_fract_x
_atom_site_fract_y
_atom_site_fract_z
_atom_site_occupancy
Ac1 Ac 0.000 0.000 0.000 1
O1 O 0.500 0.093 0.907 1
O2 O 0.093 0.907 0.500 1
O3 O 0.500 0.376 0.624 1
O4 O 0.953 0.140 0.362 1
O5 O 0.047 0.638 0.860 1
O6 O 0.376 0.624 0.500 1
O7 O 0.860 0.047 0.638 1
O8 O 0.624 0.500 0.376 1
O9 O 0.140 0.362 0.953 1
O10 O 0.362 0.953 0.140 1
O11 O 0.638 0.860 0.047 1
O12 O 0.907 0.500 0.093 1
C1 C 0.969 0.031 0.500 1
C2 C 0.500 0.500 0.500 1
C3 C 0.031 0.500 0.969 1
C4 C 0.500 0.969 0.031 1
Sr1 Sr 0.000 0.523 0.477 1
Sr2 Sr 0.523 0.477 0.000 1
Sr3 Sr 0.477 0.000 0.523 1

# CeUAsN2, relaxed, DFT GGA-PBE
# Uncorrected formation energy ... -6.8 eV per formula unit
# D(E_F) ... 5.6 states/eV/cell
# Space group ... No. 107
# E_tot ... -9.0706 eV per atom
data_CeUAsN2
_chemical_formula_sum 'Ce1 U1 As1 N2'
_symmetry_space_group_name_H-M 'P 1'
_symmetry_Int_Tables_number 1
_symmetry_space_group_name_Hall 'P 1'
_cell_length_a 3.818
_cell_length_b 3.818
_cell_length_c 6.619
_cell_angle_alpha 106.76
_cell_angle_beta 106.76
_cell_angle_gamma 90.00
loop_
_atom_site_label
_atom_site_type_symbol
_atom_site_fract_x
_atom_site_fract_y
_atom_site_fract_z
_atom_site_occupancy
Ce1 Ce 0.854 0.854 0.707 1
U1 U 0.155 0.155 0.310 1
N1 N 0.742 0.242 0.484 1
N2 N 0.242 0.742 0.484 1
As1 As 0.507 0.507 0.014 1

# Nb3Al2V4, relaxed, DFT GGA-PBE
# Energy of formation ... -8.7 kJ/mol of atoms
# D(E_F) ... 10.0 states/eV/cell
# Space group ... No. 164
# E_tot ... -8.3314 eV per atom
data_Nb3Al2V4
_chemical_formula_sum 'Nb3 Al2 V4'
_symmetry_space_group_name_H-M 'P 1'
_symmetry_Int_Tables_number 1
_symmetry_space_group_name_Hall 'P 1'
_cell_length_a 4.445
_cell_length_b 4.445
_cell_length_c 8.224
_cell_angle_alpha 90.01
_cell_angle_beta 90.00
_cell_angle_gamma 120.00
loop_
_atom_site_label
_atom_site_type_symbol
_atom_site_fract_x
_atom_site_fract_y
_atom_site_fract_z
_atom_site_occupancy
V1 V 0.000 0.000 0.660 1
V2 V 0.666 0.333 0.103 1
V3 V 0.000 0.000 0.340 1
V4 V 0.334 0.667 0.897 1
Nb1 Nb 0.667 0.333 0.429 1
Nb2 Nb 0.000 0.000 0.000 1
Nb3 Nb 0.333 0.667 0.571 1
Al1 Al 0.667 0.334 0.779 1
Al2 Al 0.333 0.666 0.221 1